No. 1
# PBE Li4CaMn, optimized geometry
data_Li4CaMn
_chemical_formula_sum 'Li16 Ca4 Mn4'
_cell_length_a 8.0008
_cell_length_b 8.0008
_cell_length_c 8.0008
_cell_angle_alpha 90.00
_cell_angle_beta 90.00
_cell_angle_gamma 90.00
_symmetry_space_group_name_H-M 'F -4 3 m'
_symmetry_Int_Tables_number 216
_symmetry_space_group_name_Hall 'F -4 2 3'
loop_
_atom_site_label
_atom_site_fract_x
_atom_site_fract_y
_atom_site_fract_z
Li1 0.1227 0.1227 0.1227
Ca1 0.0000 0.0000 0.5000
Mn1 0.2500 0.2500 0.7500
# - mass density (kg/m³) = 1592
# - DFT formation energy (eV per atom) = 0.230

---

No. 2
# PBE MgGaIrAu, optimized geometry
data_MgGaIrAu
_chemical_formula_sum 'Mg4 Ga4 Ir4 Au4'
_cell_length_a 6.3240
_cell_length_b 6.3240
_cell_length_c 6.3240
_cell_angle_alpha 90.00
_cell_angle_beta 90.00
_cell_angle_gamma 90.00
_symmetry_space_group_name_H-M 'F -4 3 m'
_symmetry_Int_Tables_number 216
_symmetry_space_group_name_Hall 'F -4 2 3'
loop_
_atom_site_label
_atom_site_fract_x
_atom_site_fract_y
_atom_site_fract_z
Mg1 0.0000 0.0000 0.0000
Ga1 0.0000 0.0000 0.5000
Ir1 0.2500 0.2500 0.2500
Au1 0.2500 0.2500 0.7500
# - mass density (kg/m³) = 12690
# - DFT formation energy (eV per atom) = -0.315